Material: SrZr2Sb
Method: DFT, PBE
State: relaxed

Crystal system: monoclinic
Energy relative to the elements, uncorrected (eV/atom): 0.0247
Space-group type: P2/m, No. 10

Cell: 3.464 5.416 5.851 Å, 90.00 97.24 90.00°
Fractional positions:
Sr1 0.000 0.000 0.000
Zr1 0.334 0.500 0.722
Zr2 0.666 0.500 0.278
Sb1 0.500 0.000 0.500